Below is a relaxed CrAg2F crystal, with properties calculated at the GGA+U level.

Results
VASP energy = -15.4 eV per formula unit
Distance to the lowest polymorph of the same formula = 207.3 meV/atom
SG = Fm-3m
Calculated density = 7.03 g/cm³

Cell: 4.576 4.576 4.576 Å, 60.00 60.00 60.00°
Fractional positions:
1 F 0.000 0.000 0.000
2 Ag 0.250 0.250 0.250
3 Ag 0.750 0.750 0.750
4 Cr 0.500 0.500 0.500